<i>
Here is Ac2Cu2Pb after structural relaxation from the Alexandria database. Energies are from PBE.

Lattice parameters (Å, degrees): 7.789 7.789 4.098 90.00 90.00 146.07
Fractional positions:
Ac1 0.131 0.869 0.000
Ac2 0.869 0.131 0.000
Cu1 0.292 0.708 0.500
Cu2 0.708 0.292 0.500
Pb1 0.500 0.500 0.500

Total magnetic moment: 0.000 μB per atom
Space-group type: Cmmm (65)

<ii>
Here is Ac2Cu2Pb after structural relaxation from the Alexandria database. Energies are from PBE.

Lattice parameters (Å, degrees): 8.098 8.098 4.213 90.00 90.00 90.00
Fractional positions:
Ac1 0.179 0.321 0.000
Ac2 0.321 0.821 0.000
Ac3 0.679 0.179 0.000
Ac4 0.821 0.679 0.000
Cu1 0.111 0.611 0.500
Cu2 0.389 0.111 0.500
Cu3 0.611 0.889 0.500
Cu4 0.889 0.389 0.500
Pb1 0.000 0.000 0.500
Pb2 0.500 0.500 0.500

Total magnetic moment: 0.000 μB per atom
Space-group type: P4/mbm (127)

It turns out <i> is the most stable, with the second structure 0.011 eV/atom higher.

<i>
Here is AcCuPd2 after structural relaxation from the Alexandria database. Energies are from PBE.

Lattice parameters (Å, degrees): 4.385 4.385 4.204 90.00 90.00 90.00
Fractional positions:
Ac1 0.000 0.000 0.000
Cu1 0.500 0.500 0.000
Pd1 0.000 0.500 0.500
Pd2 0.500 0.000 0.500

Total magnetic moment: 0.000 μB per atom
Space-group type: P4/mmm (123)

<ii>
Here is AcCuPd2 after structural relaxation from the Alexandria database. Energies are from PBE.

Lattice parameters (Å, degrees): 5.664 5.664 5.664 46.15 46.15 46.15
Fractional positions:
Ac1 0.000 0.000 0.000
Cu1 0.500 0.500 0.500
Pd1 0.206 0.206 0.206
Pd2 0.794 0.794 0.794

Total magnetic moment: 0.000 μB per atom
Space-group type: R-3m (166)

<iii>
Here is AcCuPd2 after structural relaxation from the Alexandria database. Energies are from PBE.

Lattice parameters (Å, degrees): 4.912 4.912 4.912 60.00 60.00 60.00
Fractional positions:
Ac1 0.000 0.000 0.000
Cu1 0.500 0.500 0.500
Pd1 0.250 0.250 0.250
Pd2 0.750 0.750 0.750

Total magnetic moment: 0.000 μB per atom
Space-group type: Fm-3m (225)

<iv>
Here is AcCuPd2 after structural relaxation from the Alexandria database. Energies are from PBE.

Lattice parameters (Å, degrees): 9.497 9.497 4.378 90.00 90.00 154.22
Fractional positions:
Ac1 0.109 0.891 0.750
Ac2 0.891 0.109 0.250
Cu1 0.325 0.675 0.750
Cu2 0.675 0.325 0.250
Pd1 0.252 0.748 0.250
Pd2 0.459 0.541 0.750
Pd3 0.541 0.459 0.250
Pd4 0.748 0.252 0.750

Total magnetic moment: 0.000 μB per atom
Space-group type: Cmcm (63)

It turns out <ii> is the most stable, with the second structure 0.022 eV/atom higher.

<i>
Here is AcCuPd after structural relaxation from the Alexandria database. Energies are from PBE.

Lattice parameters (Å, degrees): 4.828 4.828 4.828 60.00 60.00 60.00
Fractional positions:
Ac1 0.000 0.000 0.000
Cu1 0.500 0.500 0.500
Pd1 0.750 0.750 0.750

Total magnetic moment: 0.000 μB per atom
Space-group type: F-43m (216)

<ii>
Here is AcCuPd after structural relaxation from the Alexandria database. Energies are from PBE.

Lattice parameters (Å, degrees): 8.506 8.506 4.275 104.45 104.45 28.79
Fractional positions:
Ac1 0.121 0.121 0.371
Ac2 0.879 0.879 0.629
Cu1 0.287 0.287 0.038
Cu2 0.713 0.713 0.962
Pd1 0.447 0.447 0.197
Pd2 0.553 0.553 0.803

Total magnetic moment: 0.000 μB per atom
Space-group type: C2/m (12)

<iii>
Here is AcCuPd after structural relaxation from the Alexandria database. Energies are from PBE.

Lattice parameters (Å, degrees): 4.459 4.459 4.152 90.00 90.00 120.00
Fractional positions:
Ac1 0.000 0.000 0.000
Cu1 0.333 0.667 0.500
Pd1 0.667 0.333 0.500

Total magnetic moment: 0.000 μB per atom
Space-group type: P-6m2 (187)

<iv>
Here is AcCuPd after structural relaxation from the Alexandria database. Energies are from PBE.

Lattice parameters (Å, degrees): 4.465 4.465 8.279 90.00 90.00 120.00
Fractional positions:
Ac1 0.000 0.000 0.000
Ac2 0.000 0.000 0.500
Cu1 0.333 0.667 0.250
Cu2 0.667 0.333 0.750
Pd1 0.333 0.667 0.750
Pd2 0.667 0.333 0.250

Total magnetic moment: 0.000 μB per atom
Space-group type: P6_3/mmc (194)

It turns out <iv> is the most stable, with the second structure 0.011 eV/atom higher.

<i>
Here is AcPmCuPd after structural relaxation from the Alexandria database. Energies are from PBE.

Lattice parameters (Å, degrees): 5.240 5.240 5.240 60.00 60.00 60.00
Fractional positions:
Ac1 0.000 0.000 0.000
Pm1 0.500 0.500 0.500
Cu1 0.250 0.250 0.250
Pd1 0.750 0.750 0.750

Total magnetic moment: 0.000 μB per atom
Space-group type: F-43m (216)

<ii>
Here is AcPmCuPd after structural relaxation from the Alexandria database. Energies are from PBE.

Lattice parameters (Å, degrees): 4.641 5.952 5.952 39.61 90.00 90.00
Fractional positions:
Ac1 0.000 0.000 0.000
Pm1 0.500 0.725 0.725
Cu1 0.000 0.283 0.283
Pd1 0.500 0.427 0.427

Total magnetic moment: 0.000 μB per atom
Space-group type: Amm2 (38)

It turns out <ii> is the most stable, with the second structure 0.083 eV/atom higher.